[1]
Here is Sr2B2RhO6 after structural relaxation from Alexandria via LeMat-Bulk. Energies are from PBE.

Cell: 5.222 5.222 6.433 Å, 66.05 66.05 60.00°
Each line ends with the local moment (μB).
Element x y z (fractional)
O 0.267 0.267 0.738  0.01
O 0.733 0.733 0.262  0.01
O 0.733 0.272 0.262  0.01
O 0.728 0.267 0.738  0.01
O 0.267 0.728 0.738  0.01
O 0.272 0.733 0.262  0.01
Sr 0.782 0.782 0.655  0.00
Sr 0.218 0.218 0.345  0.00
Rh 0.000 0.000 0.000  0.74
B 0.582 0.582 0.253  0.03
B 0.418 0.418 0.747  0.03

VASP energy, eV/f.u.: -78.1
Symmetry: No. 166

---

[2]
Here is BaCa2Bi2O7 after structural relaxation from Alexandria via LeMat-Bulk. Energies are from PBE.

Cell: 4.560 4.565 10.069 Å, 103.10 103.09 90.00°
Element x y z (fractional)
O 0.731 0.731 0.463
O 0.117 0.614 0.234
O 0.500 0.483 0.000
O 0.383 0.882 0.766
O 0.883 0.381 0.766
O 0.269 0.268 0.537
O 0.617 0.116 0.234
Ba 0.000 0.019 0.000
Bi 0.614 0.616 0.227
Bi 0.386 0.389 0.773
Ca 0.250 0.750 0.500
Ca 0.750 0.250 0.500

VASP energy, eV/f.u.: -71.9
Symmetry: No. 44

---

no.,formation energy (no corrections) (meV/atom)
1,-2211
2,-1957